Entry 1:
Here is crystalline BaCa2Zn2 at its relaxed geometry from Alexandria via LeMat-Bulk. Energies are from PBE.

## Properties
- Excess energy over the best structure of this formula in the dataset: 0.0 meV/atom

a = 4.473 Å, b = 8.880 Å, c = 9.859 Å
α = 116.77°, β = 103.11°, γ = 90.00°
Sites, in units of the cell vectors:
Ba1 0.001 0.750 0.000
Ba2 0.999 0.250 0.000
Ca1 0.340 0.840 0.680
Ca2 0.340 0.340 0.680
Ca3 0.660 0.160 0.320
Ca4 0.660 0.660 0.320
Zn1 0.208 0.958 0.416
Zn2 0.792 0.542 0.584
Zn3 0.792 0.042 0.584
Zn4 0.208 0.458 0.416

Entry 2:
Here is crystalline BaCa2Zn2 at its relaxed geometry from Alexandria via LeMat-Bulk. Energies are from PBE.

## Properties
- Excess energy over the best structure of this formula in the dataset: 78.8 meV/atom

a = 5.159 Å, b = 5.159 Å, c = 7.339 Å
α = 69.42°, β = 69.42°, γ = 90.00°
Sites, in units of the cell vectors:
Zn1 0.400 0.400 0.199
Zn2 0.600 0.600 0.801
Ca1 0.750 0.250 0.500
Ca2 0.250 0.750 0.500
Ba1 0.000 0.000 0.000

Entry 3:
Here is crystalline BaCa3Zn4 at its relaxed geometry from Alexandria via LeMat-Bulk. Energies are from PBE.

a = 5.421 Å, b = 7.438 Å, c = 10.855 Å
α = 90.00°, β = 90.00°, γ = 90.00°
Sites, in units of the cell vectors:
Zn1 0.500 0.776 0.000
Zn2 0.500 0.776 0.500
Zn3 0.500 0.224 0.000
Zn4 0.500 0.224 0.500
Zn5 0.000 0.777 0.750
Zn6 0.000 0.777 0.250
Zn7 0.000 0.223 0.250
Zn8 0.000 0.223 0.750
Ca1 0.000 0.000 0.000
Ca2 0.000 0.000 0.500
Ca3 0.500 0.000 0.750
Ca4 0.500 0.000 0.250
Ca5 0.500 0.500 0.750
Ca6 0.500 0.500 0.250
Ba1 0.000 0.500 0.000
Ba2 0.000 0.500 0.500

Entry 4:
Here is crystalline BaCaZn at its relaxed geometry from Alexandria via LeMat-Bulk. Energies are from PBE.

## Properties
- Excess energy over the best structure of this formula in the dataset: 635.4 meV/atom

a = 5.631 Å, b = 5.631 Å, c = 5.631 Å
α = 60.00°, β = 60.00°, γ = 60.00°
Sites, in units of the cell vectors:
Zn1 0.500 0.500 0.500
Ca1 0.000 0.000 0.000
Ba1 0.750 0.750 0.750

ΔE_f (eV per atom)
-0.18, -0.10, -0.19, 0.49
E (eV/atom)
-1.88, -1.80, -1.82, -1.25
Fermi-level density of states (states/eV/f.u.)
4.25, 7.75, 6.09, 5.20